[1]
Below is a relaxed Tb4Sm15Tl crystal, with properties calculated at the PBE level.

Summary:
VASP energy = -92.1 eV/cell
Density = 7.85 g/cm³
Magnetic moment = 0.00 μB/atom

Cell: 5.0579 5.0579 25.5951 Å, 90.00 90.00 90.00°
Last column: nearest neighbours and their distance in Å.
Space group P4/mmm (No. 123)
Inequivalent atoms, fractional coordinates:
Tb 0.0000 0.0000 0.1003  12 Sm 3.58-3.62
Tb 0.0000 0.0000 0.3019  12 Sm 3.58-3.61
Sm 0.0000 0.5000 0.0000  8 Sm 3.58-3.62, 4 Tb 3.60
Sm 0.0000 0.5000 0.2014  8 Sm 3.58-3.63, 4 Tb 3.61-3.62
Sm 0.0000 0.5000 0.4028  2 Tl 3.55, 8 Sm 3.55-3.59, 2 Tb 3.61
Sm 0.5000 0.5000 0.1011  4 Tb 3.58, 8 Sm 3.60-3.62
Sm 0.5000 0.5000 0.3034  4 Tb 3.58, 8 Sm 3.59-3.63
Sm 0.5000 0.5000 0.5000  8 Sm 3.55, 4 Tl 3.58
Tl 0.0000 0.0000 0.5000  12 Sm 3.55-3.58

***

[2]
Below is a relaxed Pr7Sm2Er crystal, with properties calculated at the PBE level.

Summary:
VASP energy = -82.6 eV/cell
Density = 5.75 g/cm³
Magnetic moment = 0.00 μB/atom
Relative energy among the computed polymorphs = 445 meV per atom

Cell: 8.8564 16.9894 5.5800 Å, 90.00 90.00 90.00°
Last column: nearest neighbours and their distance in Å.
Space group Cmmm (No. 65)
Inequivalent atoms, fractional coordinates:
Pr 0.0000 0.0000 0.0000  4 Pr 3.40, 2 Sm 3.49
Pr 0.0000 0.2846 0.5000  2 Sm 3.10
Pr 0.1805 0.3894 0.0000  2 Pr 3.20-3.40, 2 Sm 3.26-3.51
Sm 0.0000 0.2053 0.0000  4 Pr 3.10-3.26
Er 0.0000 0.5000 0.5000  10 Pr 3.66-3.72

***

[3]
Below is a relaxed TaAgIN2 crystal, with properties calculated at the PBE level.

Summary:
VASP energy = -31.3 eV/cell
Density = 7.50 g/cm³
Magnetic moment = 0.07 μB/atom
Relative energy among the computed polymorphs = 0 meV per atom
E_form (uncorrected) = 30.8 kJ/mol of atoms

Cell: 4.0539 4.0539 5.9766 Å, 90.00 90.00 90.00°
Last column: nearest neighbours and their distance in Å.
Space group P4/mmm (No. 123)
Inequivalent atoms, fractional coordinates:
Ta 0.0000 0.0000 0.0000  4 N 2.03
Ag 0.5000 0.5000 0.5000  4 I 2.87
I 0.0000 0.0000 0.5000  4 Ag 2.87, 2 Ta 2.99
N 0.0000 0.5000 0.0000  2 Ta 2.03

***

[4]
Below is a relaxed ZrScFe crystal, with properties calculated at the PBE level.

Summary:
VASP energy = -92.2 eV/cell
Density = 5.38 g/cm³
Magnetic moment = 0.00 μB/atom
Relative energy among the computed polymorphs = 179 meV per atom

Cell: 6.1903 6.1903 6.1903 Å, 90.00 90.00 90.00°
Last column: nearest neighbours and their distance in Å.
Space group F-43m (No. 216)
Inequivalent atoms, fractional coordinates:
Zr 0.0000 0.0000 0.0000  4 Fe 2.68
Sc 0.0000 0.0000 0.5000  4 Fe 2.68
Fe 0.2500 0.2500 0.7500  4 Zr 2.68, 4 Sc 2.68

***

[5]
Below is a relaxed LiScP2 crystal, with properties calculated at the PBE level.

Summary:
VASP energy = -43.0 eV/cell
Density = 2.81 g/cm³
Magnetic moment = 0.00 μB/atom
Relative energy among the computed polymorphs = 211 meV per atom

Cell: 3.8904 4.7587 7.2592 Å, 90.00 90.00 90.00°
Last column: nearest neighbours and their distance in Å.
Space group Cmmm (No. 65)
Inequivalent atoms, fractional coordinates:
Li 0.0000 0.0000 0.0000  4 P 2.69
Sc 0.0000 0.0000 0.5000  4 P 2.63
P 0.0000 0.5000 0.2554  2 Sc 2.63, 2 Li 2.69

***

[6]
Below is a relaxed La3As5Pd6 crystal, with properties calculated at the PBE level.

Summary:
VASP energy = -165.1 eV/cell
Density = 8.47 g/cm³
Magnetic moment = 0.00 μB/atom

Cell: 4.2500 12.9625 10.1805 Å, 90.00 90.00 90.00°
Last column: nearest neighbours and their distance in Å.
Space group Pmmn (No. 59, origin choice 2)
Inequivalent atoms, fractional coordinates:
La 0.2500 0.0844 0.2502  7 Pd 3.17-3.34, 6 As 3.19-3.23
La 0.2500 0.7500 0.2464  6 As 3.18-3.22, 10 Pd 3.33-3.51
As 0.2500 0.0841 0.6447  5 Pd 2.52-2.61
As 0.2500 0.6238 0.9786  5 Pd 2.59-2.68
As 0.2500 0.7500 0.6426  4 Pd 2.58-2.63
Pd 0.2500 0.0641 0.8912  4 As 2.52-2.62, 1 Pd 2.75
Pd 0.2500 0.2500 0.0211  4 As 2.68, 2 Pd 2.75
Pd 0.2500 0.2500 0.5013  4 As 2.58-2.60
Pd 0.2500 0.5814 0.4994  4 As 2.58-2.63

***

[7]
Below is a relaxed K2CaFe crystal, with properties calculated at the PBE level.

Summary:
VASP energy = -9.2 eV/cell
Density = 1.78 g/cm³
Magnetic moment = 0.72 μB/atom
Relative energy among the computed polymorphs = 285 meV per atom

Cell: 3.9820 5.7829 7.0683 Å, 90.00 90.00 90.00°
Last column: nearest neighbours and their distance in Å.
Space group Pmmm (No. 47)
Inequivalent atoms, fractional coordinates:
K 0.0000 0.0000 0.2268  1 K 3.21
Ca 0.5000 0.5000 0.5000  2 Fe 3.53
Fe 0.5000 0.5000 0.0000  2 Ca 3.53, 8 K 3.86

***

[8]
Below is a relaxed Zr2CrNi crystal, with properties calculated at the PBE level.

Summary:
VASP energy = -130.9 eV/cell
Density = 7.29 g/cm³
Magnetic moment = 0.06 μB/atom
Relative energy among the computed polymorphs = 59 meV per atom

Cell: 6.4390 6.4390 6.4390 Å, 90.00 90.00 90.00°
Last column: nearest neighbours and their distance in Å.
Space group Fm-3m (No. 225)
Inequivalent atoms, fractional coordinates:
Zr 0.2500 0.2500 0.2500  4 Cr 2.79, 4 Ni 2.79
Cr 0.0000 0.0000 0.0000  8 Zr 2.79
Ni 0.0000 0.0000 0.5000  8 Zr 2.79

***

Calculated V (Å³/cell), listed in the same order as above: 655; 840; 98; 237; 134; 561; 163; 267